Record 1
## PrEuSc2 (PBE)

Data for a geometry-optimized PrEuSc2 structure.

Values from the calculation:
Energy above the most stable polymorph in this dataset   23 meV per atom
Raw total energy   -6.77 eV per atom

Cell lengths 5.5919, 5.5919, 3.8806 Å; angles 90.00, 90.00, 90.00 degrees
Last column: nearest neighbours and their distance in Å.
Space group P4/mmm (No. 123)
One atom of each set of equivalent atoms:
Pr1 0.0000 0.0000 0.0000  8 Sc 3.40
Eu1 0.5000 0.5000 0.0000  8 Sc 3.40
Sc1 0.0000 0.5000 0.5000  4 Pr 3.40, 4 Eu 3.40


Record 2
## Nd4SmTh3P8 (PBE)

Data for a geometry-optimized Nd4SmTh3P8 structure.

Values from the calculation:
Raw total energy   -7.16 eV per atom

Cell lengths 8.3071, 8.3071, 20.3286 Å; angles 90.00, 90.00, 120.00 degrees
Last column: nearest neighbours and their distance in Å.
Space group R-3m (No. 166, hexagonal axes)
One atom of each set of equivalent atoms:
Nd1 0.0000 0.0000 0.0000  6 P 2.95
Nd2 0.0000 0.5000 0.0000  6 P 2.95-2.96
Sm1 0.0000 0.0000 0.5000  6 P 2.92
Th1 0.0000 0.5000 0.5000  6 P 2.92
P1 0.0000 0.0000 0.2486  3 Th 2.92, 3 Nd 2.95
P2 0.0007 0.5004 0.7516  2 Th 2.92, 1 Sm 2.92, 3 Nd 2.95-2.96


Record 3
## Er3TeCN (PBE)

Data for a geometry-optimized Er3TeCN structure.

Values from the calculation:
E_form (uncorrected)   -6.44 eV/f.u.
Raw total energy   -6.80 eV per atom

Cell lengths 7.2391, 3.8430, 9.9307 Å; angles 90.00, 110.79, 90.00 degrees
Last column: nearest neighbours and their distance in Å.
Space group P2_1/m (No. 11)
One atom of each set of equivalent atoms:
Er1 0.0230 0.2500 0.3704  3 C 2.30-2.53
Er2 0.2990 0.2500 0.9359  3 N 2.20-2.26
Er3 0.4260 0.7500 0.6761  1 N 2.12
Te1 0.1933 0.7500 0.1934  7 Er 3.14-3.49
C1 0.1968 0.2500 0.6139  5 Er 2.30-2.53
N1 0.4043 0.7500 0.8831  4 Er 2.12-2.26


Record 4
## CuNiAs2 (PBE)

Data for a geometry-optimized CuNiAs2 structure.

Values from the calculation:
Raw total energy   -4.63 eV per atom

Cell lengths 3.7147, 3.7147, 8.5228 Å; angles 90.00, 90.00, 90.00 degrees
Last column: nearest neighbours and their distance in Å.
Space group I-4m2 (No. 119)
One atom of each set of equivalent atoms:
Cu1 0.0000 0.0000 0.0000  8 As 2.63-2.83, 4 Ni 2.83
Ni1 0.0000 0.5000 0.7500  8 As 2.63-2.83, 4 Cu 2.83
As1 0.0000 0.0000 0.5000  4 Cu 2.63, 4 As 2.83, 4 Ni 2.83
As2 0.0000 0.5000 0.2500  4 Ni 2.63, 4 As 2.83, 4 Cu 2.83


Record 5
## Pa2VCo4Ge3 (PBE)

Data for a geometry-optimized Pa2VCo4Ge3 structure.

Values from the calculation:
Raw total energy   -7.56 eV per atom

Cell lengths 3.9587, 3.9587, 9.8698 Å; angles 90.00, 90.00, 90.00 degrees
Last column: nearest neighbours and their distance in Å.
Space group P-4m2 (No. 115)
One atom of each set of equivalent atoms:
Pa1 0.0000 0.5000 0.2505  8 Co 3.03-3.17, 6 Ge 3.04-3.16, 2 V 3.16
V1 0.0000 0.0000 0.5000  4 Co 2.37
Co1 0.0000 0.0000 0.0000  4 Ge 2.36
Co2 0.0000 0.5000 0.6320  3 Ge 2.34-2.37, 2 V 2.37
Co3 0.5000 0.5000 0.0000  4 Ge 2.36
Ge1 0.0000 0.5000 0.8690  5 Co 2.34-2.36
Ge2 0.5000 0.5000 0.5000  4 Co 2.37


Record 6
## Pm4Al12Au (PBE)

Data for a geometry-optimized Pm4Al12Au structure.

Values from the calculation:
Raw total energy   -4.44 eV per atom

Cell lengths 8.8122, 8.8122, 8.8122 Å; angles 90.00, 90.00, 90.00 degrees
Last column: nearest neighbours and their distance in Å.
Space group Im-3m (No. 229)
One atom of each set of equivalent atoms:
Pm1 0.2500 0.2500 0.2500  12 Al 3.12-3.15
Al1 0.0000 0.0000 0.3015  1 Au 2.66, 4 Al 2.81
Al2 0.0000 0.2500 0.5000  8 Al 2.81-3.12, 4 Pm 3.12
Au1 0.0000 0.0000 0.0000  6 Al 2.66


Record 7
## DyThAl (PBE)

Data for a geometry-optimized DyThAl structure.

Values from the calculation:
Energy above the most stable polymorph in this dataset   0 meV per atom
Raw total energy   -5.42 eV per atom

Cell lengths 3.4625, 3.4625, 13.7030 Å; angles 90.00, 90.00, 90.00 degrees
Last column: nearest neighbours and their distance in Å.
Space group I4mm (No. 107)
One atom of each set of equivalent atoms:
Dy1 0.0000 0.0000 0.0000  4 Al 3.14, 4 Dy 3.46
Th1 0.0000 0.0000 0.7034  4 Al 3.23, 4 Th 3.46
Al1 0.0000 0.0000 0.3567  4 Dy 3.14, 4 Th 3.23, 4 Al 3.46


Record 8
## Sr2ZrAlAu (PBE)

Data for a geometry-optimized Sr2ZrAlAu structure.

Values from the calculation:
Raw total energy   -3.28 eV per atom

Cell lengths 6.1333, 6.1333, 4.6770 Å; angles 90.00, 90.00, 90.00 degrees
Last column: nearest neighbours and their distance in Å.
Space group P4/mmm (No. 123)
One atom of each set of equivalent atoms:
Sr1 0.0000 0.5000 0.0000  2 Al 3.07
Zr1 0.0000 0.0000 0.5000  8 Sr 3.86
Al1 0.5000 0.5000 0.0000  2 Au 2.34
Au1 0.5000 0.5000 0.5000  2 Al 2.34


> Among the records above, which one has the lowest raw total energy?

Pa2VCo4Ge3


> Which value of raw total energy does entry 5 give?

-7.56 eV per atom


> Which formula does entry 5 have?

Pa2VCo4Ge3